<A>
SrCr3W: relaxed, GGA-PBE.

Computed properties:
As for the space group: Pm-3m.

Lattice parameters (Å, degrees): 4.598 4.598 4.598 90.00 90.00 90.00
Element x y z (fractional)
1 Sr 0.000 0.000 0.000
2 Cr 0.000 0.000 0.500
3 Cr 0.000 0.500 0.000
4 Cr 0.500 0.000 0.000
5 W 0.500 0.500 0.500

---

<B>
SrCr3W: relaxed, GGA-PBE.

Computed properties:
As for the space group: Pm-3m.

Lattice parameters (Å, degrees): 4.836 4.836 4.836 90.00 90.00 90.00
Element x y z (fractional)
1 Sr 0.000 0.000 0.000
2 Cr 0.000 0.500 0.500
3 Cr 0.500 0.000 0.500
4 Cr 0.500 0.500 0.000
5 W 0.500 0.500 0.500

---

Which one is most stable, and which one is least stable? <B> is the most stable of them, while <A> is the least stable.

---

<A>
Sr3CrW: relaxed, GGA-PBE.

Computed properties:
As for the space group: Pm-3m.

Lattice parameters (Å, degrees): 5.833 5.833 5.833 90.00 90.00 90.00
Element x y z (fractional)
1 Sr 0.000 0.000 0.500
2 Sr 0.000 0.500 0.000
3 Sr 0.500 0.000 0.000
4 Cr 0.500 0.500 0.500
5 W 0.000 0.000 0.000

---

<B>
Sr3CrW: relaxed, GGA-PBE.

Computed properties:
As for the space group: Pm-3m.

Lattice parameters (Å, degrees): 5.454 5.454 5.454 90.00 90.00 90.00
Element x y z (fractional)
1 Sr 0.000 0.000 0.500
2 Sr 0.000 0.500 0.000
3 Sr 0.500 0.000 0.000
4 Cr 0.000 0.000 0.000
5 W 0.500 0.500 0.500

---

Which one is most stable, and which one is least stable? <A> is the most stable of them, while <B> is the least stable.

---

<A>
SrYCr2: relaxed, GGA-PBE.

Computed properties:
As for the space group: F-43m.

Lattice parameters (Å, degrees): 5.296 5.296 5.296 60.00 60.00 60.00
Element x y z (fractional)
1 Sr 0.000 0.000 0.000
2 Y 0.250 0.250 0.250
3 Cr 0.500 0.500 0.500
4 Cr 0.750 0.750 0.750

---

<B>
SrYCr2: relaxed, GGA-PBE.

Computed properties:
As for the space group: P4mm.

Lattice parameters (Å, degrees): 3.409 3.409 8.767 90.00 90.00 90.00
Element x y z (fractional)
1 Sr 0.000 0.000 0.000
2 Y 0.500 0.500 0.376
3 Cr 0.000 0.000 0.617
4 Cr 0.500 0.500 0.711

---

Which one is most stable, and which one is least stable? <B> is the most stable of them, while <A> is the least stable.

---

<A>
SrY3Cr: relaxed, GGA-PBE.

Computed properties:
As for the space group: Pm-3m.

Lattice parameters (Å, degrees): 5.516 5.516 5.516 90.00 90.00 90.00
Element x y z (fractional)
1 Sr 0.000 0.000 0.000
2 Y 0.000 0.500 0.500
3 Y 0.500 0.000 0.500
4 Y 0.500 0.500 0.000
5 Cr 0.500 0.500 0.500

---

<B>
SrY3Cr: relaxed, GGA-PBE.

Computed properties:
As for the space group: Pm-3m.

Lattice parameters (Å, degrees): 5.508 5.508 5.508 90.00 90.00 90.00
Element x y z (fractional)
1 Sr 0.000 0.000 0.000
2 Y 0.000 0.000 0.500
3 Y 0.000 0.500 0.000
4 Y 0.500 0.000 0.000
5 Cr 0.500 0.500 0.500

---

Which one is most stable, and which one is least stable? <A> is the most stable of them, while <B> is the least stable.

---

<A>
SrYCr: relaxed, GGA-PBE.

Computed properties:
As for the space group: F-43m.

Lattice parameters (Å, degrees): 5.309 5.309 5.309 60.00 60.00 60.00
Element x y z (fractional)
1 Sr 0.000 0.000 0.000
2 Y 0.500 0.500 0.500
3 Cr 0.250 0.250 0.250

---

<B>
SrYCr: relaxed, GGA-PBE.

Computed properties:
As for the space group: I4mm.

Lattice parameters (Å, degrees): 7.070 7.070 7.070 148.97 148.97 44.45
Element x y z (fractional)
1 Sr 0.000 0.000 0.000
2 Y 0.278 0.278 0.000
3 Cr 0.663 0.663 0.000

---

<C>
SrYCr: relaxed, GGA-PBE.

Computed properties:
As for the space group: P3m1.

Lattice parameters (Å, degrees): 5.449 5.449 3.630 90.00 90.00 120.00
Element x y z (fractional)
1 Sr 0.000 0.000 0.000
2 Y 0.667 0.333 0.405
3 Cr 0.333 0.667 0.663

---

Which one is most stable, and which one is least stable? <B> is the most stable of them, while <A> is the least stable.

---

<A>
Sr3YCr: relaxed, GGA-PBE.

Computed properties:
As for the space group: Pm-3m.

Lattice parameters (Å, degrees): 6.389 6.389 6.389 90.00 90.00 90.00
Element x y z (fractional)
1 Sr 0.000 0.000 0.500
2 Sr 0.000 0.500 0.000
3 Sr 0.500 0.000 0.000
4 Y 0.000 0.000 0.000
5 Cr 0.500 0.500 0.500

---

<B>
Sr3YCr: relaxed, GGA-PBE.

Computed properties:
As for the space group: Pm-3m.

Lattice parameters (Å, degrees): 6.087 6.087 6.087 90.00 90.00 90.00
Element x y z (fractional)
1 Sr 0.000 0.000 0.500
2 Sr 0.000 0.500 0.000
3 Sr 0.500 0.000 0.000
4 Y 0.500 0.500 0.500
5 Cr 0.000 0.000 0.000

---

Which one is most stable, and which one is least stable? <B> is the most stable of them, while <A> is the least stable.